[1]
DFT (GGA-PBE) results for a relaxed structure of Zr2SnPbSe.

Formation energy (no corrections) = 102.5 kJ/mol of atoms
Crystal system = tetragonal
Magnetization = 0.484 μB/atom
Symmetry = No. 123

abc: 5.534 5.492 5.534
angles: 90.00 90.00 90.00
Last column: magnetic moment on the atom in μB.
Element x y z (fractional)
1 Zr 0.000 0.000 0.500  0.81
2 Zr 0.500 0.000 0.000  0.67
3 Se 0.500 0.500 0.500  -0.03
4 Sn 0.000 0.500 0.000  0.01
5 Pb 0.000 0.000 0.000  0.00

---

[2]
DFT (GGA-PBE) results for a relaxed structure of SrPb4Se5.

Formation energy (no corrections) = -83.6 kJ/mol of atoms
Crystal system = orthorhombic
Magnetization = 0.000 μB/atom
Symmetry = No. 71

abc: 4.403 6.221 11.674
angles: 105.45 100.87 90.00
Element x y z (fractional)
1 Se 0.800 0.300 0.601
2 Se 0.000 0.500 0.000
3 Se 0.200 0.700 0.399
4 Se 0.601 0.101 0.201
5 Se 0.399 0.899 0.799
6 Pb 0.799 0.799 0.599
7 Pb 0.600 0.600 0.201
8 Pb 0.201 0.201 0.401
9 Pb 0.400 0.400 0.799
10 Sr 0.000 0.000 0.000

---

[3]
DFT (GGA-PBE) results for a relaxed structure of SrPbSe.

Formation energy (no corrections) = -37.1 kJ/mol of atoms
Crystal system = cubic
Polymorph energy (0 for the lowest one) = 0.514 eV per atom
Magnetization = 0.000 μB/atom
Symmetry = No. 216

abc: 5.327 5.327 5.327
angles: 60.00 60.00 60.00
Element x y z (fractional)
1 Sr 0.750 0.750 0.750
2 Se 0.500 0.500 0.500
3 Pb 0.000 0.000 0.000

---

[4]
DFT (GGA-PBE) results for a relaxed structure of Sr3PbSe4.

Formation energy (no corrections) = -163.1 kJ/mol of atoms
Crystal system = orthorhombic
Polymorph energy (0 for the lowest one) = 0.000 eV per atom
Magnetization = 0.000 μB/atom
Symmetry = No. 65

abc: 4.437 7.700 7.700
angles: 70.53 90.00 90.00
Element x y z (fractional)
1 Se 0.000 0.249 0.251
2 Se 0.500 0.250 0.750
3 Se 0.500 0.750 0.250
4 Se 0.000 0.751 0.749
5 Sr 0.000 0.500 0.500
6 Sr 0.000 0.000 0.000
7 Sr 0.500 0.000 0.500
8 Pb 0.500 0.500 0.000

---

[5]
DFT (GGA-PBE) results for a relaxed structure of SrPbSe.

Formation energy (no corrections) = -66.9 kJ/mol of atoms
Crystal system = trigonal
Polymorph energy (0 for the lowest one) = 0.206 eV per atom
Magnetization = 0.000 μB/atom
Symmetry = No. 156

abc: 5.090 5.090 4.319
angles: 90.00 90.00 120.00
Element x y z (fractional)
1 Se 0.667 0.333 0.262
2 Pb 0.000 0.000 0.111
3 Sr 0.333 0.667 0.627

---

[6]
DFT (GGA-PBE) results for a relaxed structure of SrPbSe4.

Formation energy (no corrections) = -16.8 kJ/mol of atoms
Crystal system = cubic
Magnetization = 0.000 μB/atom
Symmetry = No. 216

abc: 6.028 6.028 6.028
angles: 60.00 60.00 60.00
Element x y z (fractional)
1 Se 0.375 0.375 0.375
2 Se 0.375 0.375 0.874
3 Se 0.375 0.874 0.375
4 Se 0.874 0.375 0.375
5 Pb 0.000 0.000 0.000
6 Sr 0.750 0.750 0.750

---

[7]
DFT (GGA-PBE) results for a relaxed structure of Sr4PbSe5.

Formation energy (no corrections) = -170.8 kJ/mol of atoms
Crystal system = tetragonal
Magnetization = 0.000 μB/atom
Symmetry = No. 79

abc: 6.280 7.700 7.700
angles: 80.43 65.93 65.93
Element x y z (fractional)
1 Se 0.901 0.400 0.800
2 Se 0.101 0.600 0.200
3 Se 0.500 0.000 0.000
4 Se 0.301 0.800 0.600
5 Se 0.701 0.200 0.400
6 Sr 0.400 0.401 0.802
7 Sr 0.602 0.599 0.198
8 Sr 0.800 0.802 0.599
9 Sr 0.202 0.198 0.401
10 Pb 0.002 0.000 0.000

---

[8]
DFT (GGA-PBE) results for a relaxed structure of SrPb2Se2.

Formation energy (no corrections) = -60.1 kJ/mol of atoms
Crystal system = tetragonal
Polymorph energy (0 for the lowest one) = 0.091 eV per atom
Magnetization = 0.000 μB/atom
Symmetry = No. 139

abc: 5.864 5.864 6.352
angles: 62.51 62.51 90.00
Element x y z (fractional)
1 Se 0.750 0.250 0.500
2 Se 0.250 0.750 0.500
3 Pb 0.661 0.661 0.678
4 Pb 0.339 0.339 0.322
5 Sr 0.000 0.000 0.000

---

[9]
DFT (GGA-PBE) results for a relaxed structure of SrPbSe.

Formation energy (no corrections) = -70.5 kJ/mol of atoms
Crystal system = hexagonal
Polymorph energy (0 for the lowest one) = 0.168 eV per atom
Magnetization = 0.000 μB/atom
Symmetry = No. 187

abc: 4.192 4.191 13.322
angles: 90.00 90.00 120.01
Element x y z (fractional)
1 Sr 0.611 0.223 0.352
2 Sr 0.611 0.223 0.648
3 Pb 0.278 0.555 0.856
4 Pb 0.278 0.555 0.144
5 Se 0.278 0.556 0.500
6 Se 0.611 0.222 0.000

---

[10]
DFT (GGA-PBE) results for a relaxed structure of SrPbSe.

Formation energy (no corrections) = -64.1 kJ/mol of atoms
Crystal system = cubic
Polymorph energy (0 for the lowest one) = 0.235 eV per atom
Magnetization = 0.000 μB/atom
Symmetry = No. 216

abc: 5.233 5.233 5.233
angles: 60.00 60.00 60.00
Element x y z (fractional)
1 Pb 0.500 0.500 0.500
2 Sr 0.000 0.000 0.000
3 Se 0.750 0.750 0.750

---

[11]
DFT (GGA-PBE) results for a relaxed structure of SrPb2Se2.

Formation energy (no corrections) = -63.7 kJ/mol of atoms
Crystal system = tetragonal
Polymorph energy (0 for the lowest one) = 0.054 eV per atom
Magnetization = 0.000 μB/atom
Symmetry = No. 139

abc: 4.347 4.347 8.786
angles: 75.68 75.68 90.00
Element x y z (fractional)
1 Se 0.408 0.408 0.184
2 Se 0.592 0.592 0.816
3 Sr 0.000 0.000 0.000
4 Pb 0.750 0.250 0.500
5 Pb 0.250 0.750 0.500

---

[12]
DFT (GGA-PBE) results for a relaxed structure of Sr3PbSe.

Formation energy (no corrections) = -90.1 kJ/mol of atoms
Crystal system = cubic
Polymorph energy (0 for the lowest one) = 0.000 eV per atom
Magnetization = 0.000 μB/atom
Symmetry = No. 221

abc: 5.853 5.853 5.853
angles: 90.00 90.00 90.00
Element x y z (fractional)
1 Sr 0.500 0.000 0.000
2 Sr 0.000 0.500 0.000
3 Sr 0.000 0.000 0.500
4 Se 0.000 0.000 0.000
5 Pb 0.500 0.500 0.500

---

Number 1: calculated total energy -22.979 eV per cell. Number 2: calculated total energy -42.599 eV per cell. Number 3: calculated total energy -10.027 eV per cell. Number 4: calculated total energy -36.213 eV per cell. Number 5: calculated total energy -10.953 eV per cell. Number 6: calculated total energy -20.375 eV per cell. Number 7: calculated total energy -45.559 eV per cell. Number 8: calculated total energy -19.181 eV per cell. Number 9: calculated total energy -22.130 eV per cell. Number 10: calculated total energy -10.866 eV per cell. Number 11: calculated total energy -19.368 eV per cell. Number 12: calculated total energy -16.906 eV per cell.